Entry 1:
! NbNi2HW | the Alexandria database | GGA-PBE | relaxed; values from VASP
! - ΔE to the lowest computed polymorph (kcal/mol of atoms) = 0.09
! - D(E_F) (states/eV per atom) = 0.744
! - calculated total energy (eV per atom) = -7.579
&SYSTEM
  ibrav = 0, nat = 5, ntyp = 4
/
ATOMIC_SPECIES
Ni 58.69 Ni.upf
Nb 92.91 Nb.upf
W 183.84 W.upf
H 1.01 H.upf
CELL_PARAMETERS angstrom
-2.8834 0.8563 -2.2654
-2.2313 -2.3086 1.9675
-1.0196 3.0852 2.4638
ATOMIC_POSITIONS crystal
Ni 0.0000 0.5000 0.0000
Ni 0.5000 0.0000 0.0000
Nb 0.0000 0.0000 0.5000
W 0.5000 0.5000 0.5000
H 0.0000 0.0000 0.0000

=====

Entry 2:
! RbCd2Hg2 | the Alexandria database | GGA-PBE | relaxed; values from VASP
! - ΔE to the lowest computed polymorph (kcal/mol of atoms) = 0.24
! - D(E_F) (states/eV per atom) = 0.532
! - calculated total energy (eV per atom) = -0.811
! - calculated formation energy (meV per atom) = -131
&SYSTEM
  ibrav = 0, nat = 5, ntyp = 3
/
ATOMIC_SPECIES
Hg 200.59 Hg.upf
Rb 85.47 Rb.upf
Cd 112.41 Cd.upf
CELL_PARAMETERS angstrom
-1.3391 2.6607 -4.5978
3.7028 -2.9325 -2.7754
-2.5534 -3.8485 -4.7472
ATOMIC_POSITIONS crystal
Hg 0.7500 0.2500 0.5000
Hg 0.2500 0.7500 0.5000
Rb 0.0000 0.0000 0.0000
Cd 0.3645 0.3645 0.2711
Cd 0.6355 0.6355 0.7289

=====

Entry 3:
! KZnAu | the Alexandria database | GGA-PBE | relaxed; values from VASP
! - ΔE to the lowest computed polymorph (kcal/mol of atoms) = 2.02
! - D(E_F) (states/eV per atom) = 0.424
! - calculated total energy (eV per atom) = -2.036
! - calculated formation energy (meV per atom) = -153
&SYSTEM
  ibrav = 0, nat = 3, ntyp = 3
/
ATOMIC_SPECIES
Zn 65.41 Zn.upf
Au 196.97 Au.upf
K 39.10 K.upf
CELL_PARAMETERS angstrom
6.4873 0.0008 -0.0009
5.4652 3.4950 0.0056
1.0221 0.2921 3.4820
ATOMIC_POSITIONS crystal
Zn 0.3937 0.3937 0.6063
Au 0.9433 0.9433 0.0567
K 0.6630 0.6630 0.3370